No. 1
Below is Mg2HgPb at its PBEsol-relaxed geometry, with properties calculated at the SCAN level.

* N(E_F): 1.31 states/eV per cell
* ΔE to the lowest computed polymorph: 0.030 eV/atom
* crystal system: tetragonal

Cell lengths 4.9885, 4.9885, 3.6655 Å; angles 90.00, 90.00, 90.00 degrees
Closest atoms and distances in Å follow each position.
Atoms (fractional coordinates):
Mg 0.0000 0.5000 0.0000  4 Hg 3.10, 4 Pb 3.10
Mg 0.5000 0.0000 0.0000  4 Hg 3.10, 4 Pb 3.10
Hg 0.0000 0.0000 0.5000  8 Mg 3.10
Pb 0.5000 0.5000 0.5000  8 Mg 3.10

=====

No. 2
Below is MgHgPb2 at its PBEsol-relaxed geometry, with properties calculated at the SCAN level.

* N(E_F): 1.66 states/eV per cell
* crystal system: monoclinic

Cell lengths 5.9537, 5.9537, 5.5755 Å; angles 106.65, 106.65, 33.05 degrees
Closest atoms and distances in Å follow each position.
Atoms (fractional coordinates):
Mg 0.0000 0.0000 0.0000  2 Hg 2.95, 6 Pb 3.25-3.28
Hg 0.7091 0.7091 0.2698  2 Mg 2.95, 4 Pb 3.26-3.30
Pb 0.2465 0.2465 0.7976  3 Mg 3.25-3.33, 4 Hg 3.26-3.31, 5 Pb 3.39-3.57
Pb 0.4675 0.4675 0.4802  4 Mg 3.28, 3 Hg 3.30, 5 Pb 3.39-3.57

=====

No. 3
Below is Mg2HgPb at its PBEsol-relaxed geometry, with properties calculated at the SCAN level.

* N(E_F): 1.32 states/eV per cell
* ΔE to the lowest computed polymorph: 0.059 eV/atom
* crystal system: monoclinic

Cell lengths 5.7537, 5.7537, 5.1083 Å; angles 103.06, 103.06, 34.44 degrees
Closest atoms and distances in Å follow each position.
Atoms (fractional coordinates):
Mg 0.0000 0.0000 0.0000  4 Hg 2.98-3.16, 3 Pb 3.04-3.20
Mg 0.2358 0.2358 0.6576  3 Hg 3.03-3.15, 4 Pb 3.06-3.09
Hg 0.5010 0.5010 0.5221  7 Mg 2.98-3.16
Pb 0.7531 0.7531 0.1706  7 Mg 3.04-3.20, 2 Hg 3.35

=====

No. 4
Below is Mg2HgPb at its PBEsol-relaxed geometry, with properties calculated at the SCAN level.

* N(E_F): 1.32 states/eV per cell
* ΔE to the lowest computed polymorph: 0.042 eV/atom
* crystal system: trigonal

Cell lengths 9.3927, 9.3927, 9.3927 Å; angles 21.07, 21.07, 21.07 degrees
Closest atoms and distances in Å follow each position.
Atoms (fractional coordinates):
Mg 0.2433 0.2433 0.2433  3 Hg 2.90, 3 Pb 3.18
Mg 0.7567 0.7567 0.7567  3 Hg 2.90, 3 Pb 3.18
Hg 0.5000 0.5000 0.5000  6 Mg 2.90
Pb 0.0000 0.0000 0.0000  6 Mg 3.18, 6 Pb 3.43

=====

It is found that the DFT formation energy values, taken in the order of the records, are -233; -81; -204; -221 meV/atom.